No. 1
Entry from Alexandria: a relaxed AgSnI3 crystal (GGA-PBE).

abc: 4.4287 7.8461 11.7806
angles: 90.00 100.83 90.00
Atoms (fractional coordinates):
I 0.2414 0.1485 0.4828
I 0.4213 0.8617 0.8426
I 0.5787 0.3617 0.1574
I 0.9055 0.3516 0.8109
I 0.0945 0.8516 0.1891
I 0.7586 0.6485 0.5172
Ag 0.3289 0.4264 0.6578
Ag 0.6711 0.9264 0.3422
Sn 0.1550 0.5059 0.3101
Sn 0.8450 0.0059 0.6899

Values from the calculation:
Excess energy over the best structure of this formula in the dataset = 0.0000 eV/atom
Calculated density = 5.0 g/cm³
Uncorrected formation energy = -8.22 kcal/mol of atoms
Total moment = 0.00 μB/f.u.

No. 2
Entry from Alexandria: a relaxed AgSn2I5 crystal (GGA-PBE).

abc: 7.5700 11.8404 15.6909
angles: 107.75 90.00 90.00
Atoms (fractional coordinates):
Sn 0.9928 0.1273 0.3956
Sn 0.4928 0.8727 0.1044
Sn 0.0411 0.3243 0.7136
Sn 0.5072 0.1273 0.8956
Sn 0.5411 0.6757 0.7864
Sn 0.9589 0.6757 0.2864
Sn 0.0072 0.8727 0.6044
Sn 0.4589 0.3243 0.2136
I 0.7967 0.1023 0.5798
I 0.2626 0.5062 0.8454
I 0.7033 0.1023 0.0798
I 0.7753 0.8988 0.7744
I 0.7426 0.7157 0.4751
I 0.2374 0.5062 0.3454
I 0.7143 0.3229 0.3725
I 0.7626 0.4938 0.6546
I 0.7374 0.4938 0.1546
I 0.2033 0.8977 0.4202
I 0.7247 0.8988 0.2744
I 0.2426 0.2843 0.0249
I 0.2967 0.8977 0.9202
I 0.7574 0.7157 0.9751
I 0.2247 0.1012 0.2256
I 0.2857 0.6771 0.6275
I 0.2574 0.2843 0.5249
I 0.7857 0.3229 0.8725
I 0.2143 0.6771 0.1275
I 0.2753 0.1012 0.7256
Ag 0.0000 0.5000 0.0000
Ag 0.5000 0.5000 0.5000
Ag 0.0000 0.0000 0.0000
Ag 0.5000 0.0000 0.5000

Values from the calculation:
Calculated density = 4.9 g/cm³
Uncorrected formation energy = -8.79 kcal/mol of atoms
Total moment = 0.00 μB/f.u.

No. 3
Entry from Alexandria: a relaxed AgSn2I8 crystal (GGA-PBE).

abc: 7.3663 9.0336 9.0336
angles: 78.71 83.75 83.75
Atoms (fractional coordinates):
Ag 0.0000 0.0000 0.0000
I 0.7962 0.0872 0.7132
I 0.7063 0.1879 0.1879
I 0.8522 0.6029 0.6029
I 0.2038 0.9128 0.2868
I 0.7962 0.7132 0.0872
I 0.2937 0.8121 0.8121
I 0.2038 0.2868 0.9128
I 0.1478 0.3971 0.3971
Sn 0.6769 0.7949 0.7949
Sn 0.3231 0.2051 0.2051

Values from the calculation:
Calculated density = 3.9 g/cm³
Uncorrected formation energy = -6.57 kcal/mol of atoms
Total moment = 0.00 μB/f.u.

No. 4
Entry from Alexandria: a relaxed Ag2Sn2I crystal (GGA-PBE).

abc: 8.4430 8.4430 3.6451
angles: 90.00 90.00 90.00
Atoms (fractional coordinates):
I 0.5000 0.5000 0.0000
I 0.0000 0.0000 0.0000
Ag 0.3386 0.8386 0.0000
Ag 0.8386 0.6614 0.0000
Ag 0.1614 0.3386 0.0000
Ag 0.6614 0.1614 0.0000
Sn 0.1283 0.6283 0.5000
Sn 0.6283 0.8717 0.5000
Sn 0.8717 0.3717 0.5000
Sn 0.3717 0.1283 0.5000

Values from the calculation:
Excess energy over the best structure of this formula in the dataset = 0.0000 eV/atom
Calculated density = 7.4 g/cm³
Uncorrected formation energy = 2.51 kcal/mol of atoms
Total moment = 0.00 μB/f.u.

No. 5
Entry from Alexandria: a relaxed AgSnI4 crystal (GGA-PBE).

abc: 4.2365 7.3037 7.6994
angles: 84.57 90.00 90.00
Atoms (fractional coordinates):
I 0.5000 0.2641 0.8250
I 0.0000 0.7717 0.6784
I 0.5000 0.7359 0.1750
I 0.0000 0.2283 0.3216
Sn 0.0000 0.0000 0.0000
Ag 0.5000 0.0000 0.5000

Values from the calculation:
Excess energy over the best structure of this formula in the dataset = 0.0050 eV/atom
Calculated density = 5.1 g/cm³
Uncorrected formation energy = -6.71 kcal/mol of atoms
Total moment = 0.00 μB/f.u.

No. 6
Entry from Alexandria: a relaxed Ag2Sn2I crystal (GGA-PBE).

abc: 4.0842 4.0842 8.7001
angles: 76.42 76.42 90.00
Atoms (fractional coordinates):
Ag 0.2500 0.7500 0.5000
Ag 0.7500 0.2500 0.5000
I 0.0000 0.0000 0.0000
Sn 0.6219 0.6219 0.7563
Sn 0.3781 0.3781 0.2437

Values from the calculation:
Excess energy over the best structure of this formula in the dataset = 0.0124 eV/atom
Calculated density = 7.0 g/cm³
Uncorrected formation energy = 2.79 kcal/mol of atoms
Total moment = 0.00 μB/f.u.